# PrNd4Rh4, optimized geometry, DFT PBE-GGA
data_PrNd4Rh4
_space_group_name_H-M_alt 'P 42/n'
_space_group_IT_number 86
_cell_length_a 9.0635
_cell_length_b 9.0635
_cell_length_c 5.8025
_cell_angle_alpha 90.00
_cell_angle_beta 90.00
_cell_angle_gamma 90.00
loop_
_space_group_symop_operation_xyz
'x,y,z'
'-x,-y,-z'
'-y,x+1/2,z+1/2'
'y,-x+1/2,-z+1/2'
'-x+1/2,-y+1/2,z'
'x+1/2,y+1/2,-z'
'y+1/2,-x,z+1/2'
'-y+1/2,x,-z+1/2'
loop_
_atom_site_label
_atom_site_type_symbol
_atom_site_fract_x
_atom_site_fract_y
_atom_site_fract_z
Pr1 Pr 0.2500 0.2500 0.2500
Nd1 Nd 0.0657 0.6611 0.1673
Rh1 Rh 0.0317 0.6257 0.6605
# - Crystal system: tetragonal
# - Total moment: 0.000 μB/atom
# - Formation energy from the elements: -53 kJ/mol of atoms
# - E: -116.41 eV/cell